VASP calculation (PBE) on crystalline Si2SnOsPt at its relaxed geometry.

crystal system: tetragonal
DFT total energy: -6.008 eV/atom
raw formation energy: 0.416 eV/atom
total magnetization: 0.0 μB per formula unit

Cell lengths 4.533, 5.215, 4.533 Å; angles 90.00, 90.00, 90.00 degrees
Fractional positions:
Si (0.000, 0.000, 0.500)
Si (0.500, 0.000, 0.000)
Os (0.000, 0.000, 0.000)
Sn (0.000, 0.500, 0.000)
Pt (0.500, 0.500, 0.500)

VASP calculation (PBE) on crystalline ReHRu2 at its relaxed geometry.

crystal system: cubic
DFT total energy: -7.981 eV/atom
polymorph energy (0 for the lowest one): 595 meV/atom
total magnetization: 0.0 μB per formula unit

Cell lengths 4.154, 4.154, 4.154 Å; angles 60.00, 60.00, 60.00 degrees
Fractional positions:
Re (0.500, 0.500, 0.500)
H (0.000, 0.000, 0.000)
Ru (0.250, 0.250, 0.250)
Ru (0.750, 0.750, 0.750)

VASP calculation (PBE) on crystalline AlBSN2 at its relaxed geometry.

crystal system: tetragonal
DFT total energy: -4.805 eV/atom
raw formation energy: 1.434 eV/atom
polymorph energy (0 for the lowest one): 736 meV/atom
total magnetization: 0.0 μB per formula unit

Cell lengths 3.477, 3.477, 6.494 Å; angles 90.00, 90.00, 90.00 degrees
Fractional positions:
S (0.000, 0.000, 0.500)
B (0.500, 0.500, 0.500)
Al (0.000, 0.000, 0.000)
N (0.000, 0.500, 0.000)
N (0.500, 0.000, 0.000)

VASP calculation (PBE) on crystalline K2PbO6 at its relaxed geometry.

crystal system: triclinic
DFT total energy: -4.688 eV/atom
raw formation energy: -0.727 eV/atom
total magnetization: 2.0 μB per formula unit

Cell lengths 5.555, 5.556, 6.957 Å; angles 108.98, 108.86, 95.94 degrees
Site moments in Bohr magnetons follow the coordinates.
Fractional positions:
K (0.739, 0.261, 0.500)  0.00
K (0.261, 0.739, 0.500)  0.00
Pb (0.000, 0.000, 0.000)  -0.01
O (0.969, 0.595, 0.069)  0.40
O (0.405, 0.030, 0.930)  0.40
O (0.180, 0.180, 0.331)  0.02
O (0.031, 0.405, 0.931)  0.40
O (0.595, 0.970, 0.070)  0.40
O (0.820, 0.820, 0.669)  0.02

VASP calculation (PBE) on crystalline Tb4ThN4 at its relaxed geometry.

crystal system: tetragonal
DFT total energy: -8.010 eV/atom
raw formation energy: -1.428 eV/atom
total magnetization: 0.0 μB per formula unit

Cell lengths 4.959, 6.147, 6.146 Å; angles 80.64, 66.25, 66.26 degrees
Fractional positions:
Tb (0.607, 0.579, 0.207)
Tb (0.393, 0.421, 0.793)
Tb (0.186, 0.207, 0.421)
Tb (0.814, 0.793, 0.579)
Th (0.000, 0.000, 0.000)
N (0.904, 0.393, 0.798)
N (0.096, 0.607, 0.202)
N (0.297, 0.798, 0.608)
N (0.703, 0.202, 0.392)

VASP calculation (PBE) on crystalline Mo3Ru5 at its relaxed geometry.

crystal system: triclinic
calculated formation energy: 0.17 eV per atom
DFT total energy: -9.694 eV/atom
polymorph energy (0 for the lowest one): 121 meV/atom
total magnetization: 0.0 μB per formula unit

Cell lengths 4.845, 8.462, 7.396 Å; angles 104.41, 117.05, 63.66 degrees
Fractional positions:
Ru (0.084, 0.712, 0.869)
Ru (0.087, 0.839, 0.254)
Ru (0.276, 0.454, 0.491)
Ru (0.299, 0.351, 0.805)
Ru (0.372, 0.824, 0.685)
Ru (0.629, 0.176, 0.316)
Ru (0.702, 0.649, 0.196)
Ru (0.724, 0.546, 0.510)
Ru (0.914, 0.161, 0.747)
Ru (0.917, 0.288, 0.132)
Mo (0.240, 0.138, 0.485)
Mo (0.350, 0.963, 0.086)
Mo (0.301, 0.484, 0.156)
Mo (0.700, 0.516, 0.845)
Mo (0.651, 0.037, 0.915)
Mo (0.761, 0.862, 0.516)

VASP calculation (PBE) on crystalline ZrAlSi3 at its relaxed geometry.

crystal system: cubic
DFT total energy: -4.913 eV/atom
raw formation energy: 0.799 eV/atom
total magnetization: 0.0 μB per formula unit

Cell lengths 4.657, 4.657, 4.657 Å; angles 90.00, 90.00, 90.00 degrees
Fractional positions:
Si (0.000, 0.500, 0.000)
Si (0.000, 0.000, 0.500)
Si (0.500, 0.000, 0.000)
Al (0.000, 0.000, 0.000)
Zr (0.500, 0.500, 0.500)

VASP calculation (PBE) on crystalline Mg3FeIr at its relaxed geometry.

crystal system: cubic
calculated formation energy: 0.60 eV per atom
DFT total energy: -3.822 eV/atom
polymorph energy (0 for the lowest one): 0 meV/atom
total magnetization: 3.3 μB per formula unit

Cell lengths 4.913, 4.913, 4.913 Å; angles 90.00, 90.00, 90.00 degrees
Site moments in Bohr magnetons follow the coordinates.
Fractional positions:
Mg (0.000, 0.500, 0.000)  -0.01
Mg (0.000, 0.000, 0.500)  -0.02
Mg (0.500, 0.000, 0.000)  0.00
Ir (0.000, 0.000, 0.000)  0.07
Fe (0.500, 0.500, 0.500)  3.18